1.
# PBE-GGA Br3Cl, optimized geometry
# ΔE_f (raw)   0.1494 eV per atom
# Magnetization   0.0 μB per cell
data_Br3Cl
_chemical_formula_sum 'Br6 Cl2'
_symmetry_space_group_name_H-M 'P 1 21/m 1'
_symmetry_Int_Tables_number 11
_cell_length_a 5.081
_cell_length_b 7.330
_cell_length_c 7.490
_cell_angle_alpha 90.00
_cell_angle_beta 90.02
_cell_angle_gamma 90.00
loop_
_symmetry_equiv_pos_as_xyz
'x,y,z'
'-x,-y,-z'
'-x,y+1/2,-z'
'x,-y+1/2,z'
loop_
_atom_site_label
_atom_site_type_symbol
_atom_site_fract_x
_atom_site_fract_y
_atom_site_fract_z
Br1 Br 0.249 0.250 0.258
Br2 Br 0.250 0.250 0.759
Br3 Br 0.251 0.750 0.742
Cl1 Cl 0.251 0.750 0.241

2.
# PBE-GGA La2InGa3Pt4, optimized geometry
# E_form   -0.937 eV per atom
# Magnetization   0.0 μB per cell
data_La2InGa3Pt4
_chemical_formula_sum 'La2 In1 Ga3 Pt4'
_symmetry_space_group_name_H-M 'P -4 m 2'
_symmetry_Int_Tables_number 115
_cell_length_a 4.234
_cell_length_b 4.234
_cell_length_c 11.443
_cell_angle_alpha 90.00
_cell_angle_beta 90.00
_cell_angle_gamma 90.00
loop_
_symmetry_equiv_pos_as_xyz
'x,y,z'
'y,-x,-z'
'-x,-y,z'
'-y,x,-z'
'-x,y,z'
'-y,-x,-z'
'x,-y,z'
'y,x,-z'
loop_
_atom_site_label
_atom_site_type_symbol
_atom_site_fract_x
_atom_site_fract_y
_atom_site_fract_z
La1 La 0.000 0.500 0.244
In1 In 0.000 0.000 0.500
Ga1 Ga 0.000 0.500 0.874
Ga2 Ga 0.500 0.500 0.500
Pt1 Pt 0.000 0.000 0.000
Pt2 Pt 0.000 0.500 0.653
Pt3 Pt 0.500 0.500 0.000

3.
# PBE-GGA Na4Ho3PaS8, optimized geometry
# ΔE_f (raw)   -1.7236 eV per atom
# Magnetization   5.4 μB per cell
data_Na4Ho3PaS8
_chemical_formula_sum 'Na12 Ho9 Pa3 S24'
_symmetry_space_group_name_H-M 'R -3 m'
_symmetry_Int_Tables_number 166
_symmetry_space_group_name_Hall '-R 3 2"'
_cell_length_a 7.9333
_cell_length_b 7.9333
_cell_length_c 20.1133
_cell_angle_alpha 90.00
_cell_angle_beta 90.00
_cell_angle_gamma 120.00
loop_
_atom_site_label
_atom_site_type_symbol
_atom_site_fract_x
_atom_site_fract_y
_atom_site_fract_z
Na1 Na 0.0000 0.0000 0.0000
Na2 Na 0.0000 0.5000 0.0000
Ho1 Ho 0.0000 0.5000 0.5000
Pa1 Pa 0.0000 0.0000 0.5000
S1 S 0.0000 0.0000 0.2423
S2 S 0.0006 0.5003 0.7569

4.
# PBE-GGA CrCd3Au12, optimized geometry
# E_form   -0.076 eV per atom
# Magnetization   4.2 μB per cell
data_CrCd3Au12
_chemical_formula_sum 'Cr1 Cd3 Au12'
_symmetry_space_group_name_H-M 'P 4/m m m'
_symmetry_Int_Tables_number 123
_symmetry_space_group_name_Hall '-P 4 2'
_cell_length_a 4.200
_cell_length_b 4.200
_cell_length_c 16.614
_cell_angle_alpha 90.00
_cell_angle_beta 90.00
_cell_angle_gamma 90.00
loop_
_atom_site_label
_atom_site_type_symbol
_atom_site_fract_x
_atom_site_fract_y
_atom_site_fract_z
Cr1 Cr 0.000 0.000 0.000
Cd1 Cd 0.000 0.000 0.246
Cd2 Cd 0.000 0.000 0.500
Au1 Au 0.000 0.500 0.119
Au2 Au 0.000 0.500 0.373
Au3 Au 0.500 0.500 0.000
Au4 Au 0.500 0.500 0.246
Au5 Au 0.500 0.500 0.500

5.
# PBE-GGA BaMgSb2, optimized geometry
# ΔE_f (raw)   -0.4671 eV per atom
# Magnetization   0.0 μB per cell
data_BaMgSb2
_chemical_formula_sum 'Ba4 Mg4 Sb8'
_symmetry_space_group_name_H-M 'I -4 2 d'
_symmetry_Int_Tables_number 122
_symmetry_space_group_name_Hall 'I -4 2bw'
_cell_length_a 5.894
_cell_length_b 5.894
_cell_length_c 18.465
_cell_angle_alpha 90.00
_cell_angle_beta 90.00
_cell_angle_gamma 90.00
loop_
_atom_site_label
_atom_site_type_symbol
_atom_site_fract_x
_atom_site_fract_y
_atom_site_fract_z
Ba1 Ba 0.000 0.000 0.000
Mg1 Mg 0.000 0.000 0.500
Sb1 Sb 0.084 0.250 0.625

6.
# PBE-GGA TlV2N, optimized geometry
# ΔE_f (raw)   0.0784 eV per atom
# Magnetization   6.0 μB per cell
data_TlV2N
_chemical_formula_sum 'Tl4 V8 N4'
_symmetry_space_group_name_H-M 'I 41/a m d'
_symmetry_Int_Tables_number 141
_cell_length_a 5.083
_cell_length_b 5.083
_cell_length_c 11.067
_cell_angle_alpha 90.00
_cell_angle_beta 90.00
_cell_angle_gamma 90.00
loop_
_symmetry_equiv_pos_as_xyz
'x,y,z'
'-x,-y,-z'
'-y+1/4,x+3/4,z+1/4'
'y+1/4,-x+3/4,-z+1/4'
'-x+1/2,-y,z+1/2'
'x+1/2,y,-z+1/2'
'y+1/4,-x+1/4,z+3/4'
'-y+1/4,x+1/4,-z+3/4'
'x,-y,-z'
'-x,y,z'
'-y+1/4,-x+1/4,-z+3/4'
'y+1/4,x+1/4,z+3/4'
'-x+1/2,y,-z+1/2'
'x+1/2,-y,z+1/2'
'y+1/4,x+3/4,-z+1/4'
'-y+1/4,-x+3/4,z+1/4'
'x+1/2,y+1/2,z+1/2'
'-x+1/2,-y+1/2,-z+1/2'
'-y+3/4,x+1/4,z+3/4'
'y+3/4,-x+1/4,-z+3/4'
'-x,-y+1/2,z'
'x,y+1/2,-z'
'y+3/4,-x+3/4,z+1/4'
'-y+3/4,x+3/4,-z+1/4'
'x+1/2,-y+1/2,-z+1/2'
'-x+1/2,y+1/2,z+1/2'
'-y+3/4,-x+3/4,-z+1/4'
'y+3/4,x+3/4,z+1/4'
'-x,y+1/2,-z'
'x,-y+1/2,z'
'y+3/4,x+1/4,-z+3/4'
'-y+3/4,-x+1/4,z+3/4'
loop_
_atom_site_label
_atom_site_type_symbol
_atom_site_fract_x
_atom_site_fract_y
_atom_site_fract_z
Tl1 Tl 0.000 0.250 0.375
V1 V 0.000 0.000 0.000
N1 N 0.000 0.250 0.875

7.
# PBE-GGA Sr2ZnAuO4, optimized geometry
# ΔE_f (raw)   -1.5825 eV per atom
# Magnetization   2.1 μB per cell
data_Sr2ZnAuO4
_chemical_formula_sum 'Sr4 Zn2 Au2 O8'
_symmetry_space_group_name_H-M 'I -4'
_symmetry_Int_Tables_number 82
_cell_length_a 6.212
_cell_length_b 6.212
_cell_length_c 6.509
_cell_angle_alpha 90.00
_cell_angle_beta 90.00
_cell_angle_gamma 90.00
loop_
_symmetry_equiv_pos_as_xyz
'x,y,z'
'y,-x,-z'
'-x,-y,z'
'-y,x,-z'
'x+1/2,y+1/2,z+1/2'
'y+1/2,-x+1/2,-z+1/2'
'-x+1/2,-y+1/2,z+1/2'
'-y+1/2,x+1/2,-z+1/2'
loop_
_atom_site_label
_atom_site_type_symbol
_atom_site_fract_x
_atom_site_fract_y
_atom_site_fract_z
Sr1 Sr 0.000 0.000 0.000
Sr2 Sr 0.000 0.500 0.250
Zn1 Zn 0.000 0.500 0.750
Au1 Au 0.000 0.000 0.500
O1 O 0.170 0.696 0.561

8.
# PBE-GGA Hf2MnCo3, optimized geometry
# E_form   -0.359 eV per atom
# Magnetization   10.2 μB per cell
data_Hf2MnCo3
_chemical_formula_sum 'Hf6 Mn3 Co9'
_symmetry_space_group_name_H-M 'R -3 m'
_symmetry_Int_Tables_number 166
_symmetry_space_group_name_Hall '-R 3 2"'
_cell_length_a 4.9659
_cell_length_b 4.9659
_cell_length_c 11.6775
_cell_angle_alpha 90.00
_cell_angle_beta 90.00
_cell_angle_gamma 120.00
loop_
_atom_site_label
_atom_site_type_symbol
_atom_site_fract_x
_atom_site_fract_y
_atom_site_fract_z
Hf1 Hf 0.0000 0.0000 0.1266
Mn1 Mn 0.0000 0.0000 0.5000
Co1 Co 0.0000 0.5000 0.0000

9.
# PBE-GGA PmGdTlGa, optimized geometry
# E_form   -0.444 eV per atom
# Magnetization   28.9 μB per cell
data_PmGdTlGa
_chemical_formula_sum 'Pm4 Gd4 Tl4 Ga4'
_symmetry_space_group_name_H-M 'F -4 3 m'
_symmetry_Int_Tables_number 216
_symmetry_space_group_name_Hall 'F -4 2 3'
_cell_length_a 7.518
_cell_length_b 7.518
_cell_length_c 7.518
_cell_angle_alpha 90.00
_cell_angle_beta 90.00
_cell_angle_gamma 90.00
loop_
_atom_site_label
_atom_site_type_symbol
_atom_site_fract_x
_atom_site_fract_y
_atom_site_fract_z
Pm1 Pm 0.000 0.000 0.000
Gd1 Gd 0.000 0.000 0.500
Tl1 Tl 0.250 0.250 0.750
Ga1 Ga 0.250 0.250 0.250

10.
# PBE-GGA Sr4MgHg, optimized geometry
# E_form   -0.059 eV per atom
# Magnetization   0.0 μB per cell
data_Sr4MgHg
_chemical_formula_sum 'Sr4 Mg1 Hg1'
_symmetry_space_group_name_H-M 'P 1 m 1'
_symmetry_Int_Tables_number 6
_cell_length_a 5.761
_cell_length_b 5.758
_cell_length_c 8.231
_cell_angle_alpha 90.00
_cell_angle_beta 90.07
_cell_angle_gamma 90.00
loop_
_symmetry_equiv_pos_as_xyz
'x,y,z'
'x,-y,z'
loop_
_atom_site_label
_atom_site_type_symbol
_atom_site_fract_x
_atom_site_fract_y
_atom_site_fract_z
Sr1 Sr 0.000 0.000 0.000
Sr2 Sr 0.000 0.000 0.478
Sr3 Sr 0.500 0.500 0.000
Sr4 Sr 0.500 0.500 0.478
Mg1 Mg 0.001 0.500 0.739
Hg1 Hg 0.500 0.000 0.239

11.
# PBE-GGA Np2ScB2Ru5, optimized geometry
# E_form   -0.362 eV per atom
# Magnetization   9.9 μB per cell
data_Np2ScB2Ru5
_chemical_formula_sum 'Np4 Sc2 B4 Ru10'
_symmetry_space_group_name_H-M 'P 4/m b m'
_symmetry_Int_Tables_number 127
_symmetry_space_group_name_Hall '-P 4 2ab'
_cell_length_a 9.746
_cell_length_b 9.746
_cell_length_c 3.104
_cell_angle_alpha 90.00
_cell_angle_beta 90.00
_cell_angle_gamma 90.00
loop_
_atom_site_label
_atom_site_type_symbol
_atom_site_fract_x
_atom_site_fract_y
_atom_site_fract_z
Np1 Np 0.177 0.323 0.000
Sc1 Sc 0.000 0.000 0.000
B1 B 0.121 0.621 0.000
Ru1 Ru 0.000 0.500 0.500
Ru2 Ru 0.071 0.777 0.500

12.
# PBE-GGA Tl2NiAs, optimized geometry
# E_form   0.481 eV per atom
# Magnetization   0.0 μB per cell
data_Tl2NiAs
_chemical_formula_sum 'Tl8 Ni4 As4'
_symmetry_space_group_name_H-M 'F m -3 m'
_symmetry_Int_Tables_number 225
_symmetry_space_group_name_Hall '-F 4 2 3'
_cell_length_a 7.030
_cell_length_b 7.030
_cell_length_c 7.030
_cell_angle_alpha 90.00
_cell_angle_beta 90.00
_cell_angle_gamma 90.00
loop_
_atom_site_label
_atom_site_type_symbol
_atom_site_fract_x
_atom_site_fract_y
_atom_site_fract_z
Tl1 Tl 0.250 0.250 0.250
Ni1 Ni 0.000 0.000 0.000
As1 As 0.000 0.000 0.500